{"formula": "CoMoPt", "functional": "PBE", "state": "optimized geometry", "lattice_angstrom": [[1.3627, -11.4799, 0.0000], [1.3627, 11.4799, 0.0000], [0.0000, 0.0000, 2.7266]], "species": ["Co", "Co", "Mo", "Mo", "Pt", "Pt"], "fractional_positions": [[0.2168, 0.7832, 0.7500], [0.7832, 0.2168, 0.2500], [0.3599, 0.6401, 0.7500], [0.6401, 0.3599, 0.2500], [0.0529, 0.9471, 0.7500], [0.9471, 0.0529, 0.2500]], "sg": "Cmcm, No. 63", "formation_energy_ev_per_atom": -0.0717, "magnetic_moment_mub_per_cell": 2.57}